1.
# PmHo2IrO8 | the Alexandria database | PBE | relaxed
# ΔE_f (raw): -2341 meV/atom
# Total DFT energy (no corrections): -7.543 eV per atom
data_PmHo2IrO8
_cell_length_a 5.049
_cell_length_b 6.846
_cell_length_c 5.057
_cell_angle_alpha 90.00
_cell_angle_beta 90.10
_cell_angle_gamma 90.00
_space_group_name_H-M_alt 'P 1 2/m 1'
_space_group_IT_number 10
_space_group_name_Hall '-P 2y'
loop_
_atom_site_label
_atom_site_type_symbol
_atom_site_fract_x
_atom_site_fract_y
_atom_site_fract_z
Pm1 Pm 0.000 0.000 0.000
Ho1 Ho 0.500 0.249 0.500
Ir1 Ir 0.000 0.500 0.000
O1 O 0.187 0.295 0.186
O2 O 0.268 0.500 0.731
O3 O 0.314 0.000 0.685

***

2.
# PrHoIrO6 | the Alexandria database | PBE | relaxed
# ΔE_f (raw): -2178 meV/atom
# Total DFT energy (no corrections): -7.507 eV per atom
data_PrHoIrO6
_cell_length_a 5.5249
_cell_length_b 5.5249
_cell_length_c 10.0769
_cell_angle_alpha 90.00
_cell_angle_beta 90.00
_cell_angle_gamma 120.00
_space_group_name_H-M_alt 'P -3 1 c'
_space_group_IT_number 163
_space_group_name_Hall '-P 3 2c'
loop_
_atom_site_label
_atom_site_type_symbol
_atom_site_fract_x
_atom_site_fract_y
_atom_site_fract_z
Pr1 Pr 0.0000 0.0000 0.0000
Ho1 Ho 0.3333 0.6667 0.2500
Ir1 Ir 0.3333 0.6667 0.7500
O1 O 0.0394 0.3760 0.6396

***

3.
# Rb2HoIrO6 | the Alexandria database | PBE | relaxed
# ΔE_f (raw): -1674 meV/atom
# Total DFT energy (no corrections): -6.186 eV per atom
data_Rb2HoIrO6
_cell_length_a 8.380
_cell_length_b 8.380
_cell_length_c 8.380
_cell_angle_alpha 90.00
_cell_angle_beta 90.00
_cell_angle_gamma 90.00
_space_group_name_H-M_alt 'F m -3 m'
_space_group_IT_number 225
_space_group_name_Hall '-F 4 2 3'
loop_
_atom_site_label
_atom_site_type_symbol
_atom_site_fract_x
_atom_site_fract_y
_atom_site_fract_z
Rb1 Rb 0.250 0.250 0.250
Ho1 Ho 0.000 0.000 0.000
Ir1 Ir 0.000 0.000 0.500
O1 O 0.000 0.000 0.270

***

4.
# Rb2Ho2IrO6 | the Alexandria database | PBE | relaxed
# ΔE_f (raw): -2145 meV/atom
# Total DFT energy (no corrections): -6.663 eV per atom
data_Rb2Ho2IrO6
_cell_length_a 5.803
_cell_length_b 9.951
_cell_length_c 6.872
_cell_angle_alpha 90.00
_cell_angle_beta 105.04
_cell_angle_gamma 90.00
_space_group_name_H-M_alt 'C 1 2/m 1'
_space_group_IT_number 12
_space_group_name_Hall '-C 2y'
loop_
_atom_site_label
_atom_site_type_symbol
_atom_site_fract_x
_atom_site_fract_y
_atom_site_fract_z
Rb1 Rb 0.000 0.164 0.000
Ho1 Ho 0.000 0.335 0.500
Ir1 Ir 0.000 0.000 0.500
O1 O 0.205 0.156 0.664
O2 O 0.244 0.500 0.667

***

5.
# Rb2HoIr3O12 | the Alexandria database | PBE | relaxed
# ΔE_f (raw): -1196 meV/atom
# Total DFT energy (no corrections): -6.341 eV per atom
data_Rb2HoIr3O12
_cell_length_a 7.3070
_cell_length_b 7.3070
_cell_length_c 18.9892
_cell_angle_alpha 90.00
_cell_angle_beta 90.00
_cell_angle_gamma 120.00
_space_group_name_H-M_alt 'R -3 m'
_space_group_IT_number 166
_space_group_name_Hall '-R 3 2"'
loop_
_atom_site_label
_atom_site_type_symbol
_atom_site_fract_x
_atom_site_fract_y
_atom_site_fract_z
Rb1 Rb 0.0000 0.0000 0.1123
Ho1 Ho 0.0000 0.0000 0.5000
Ir1 Ir 0.0000 0.5000 0.0000
O1 O 0.0490 0.5245 0.0980
O2 O 0.0690 0.5345 0.3468

***

6.
# SmHoIrO6 | the Alexandria database | PBE | relaxed
# ΔE_f (raw): -2195 meV/atom
# Total DFT energy (no corrections): -7.518 eV per atom
data_SmHoIrO6
_cell_length_a 5.5013
_cell_length_b 5.5013
_cell_length_c 9.8235
_cell_angle_alpha 90.00
_cell_angle_beta 90.00
_cell_angle_gamma 120.00
_space_group_name_H-M_alt 'P -3 1 c'
_space_group_IT_number 163
_space_group_name_Hall '-P 3 2c'
loop_
_atom_site_label
_atom_site_type_symbol
_atom_site_fract_x
_atom_site_fract_y
_atom_site_fract_z
Sm1 Sm 0.0000 0.0000 0.0000
Ho1 Ho 0.3333 0.6667 0.2500
Ir1 Ir 0.3333 0.6667 0.7500
O1 O 0.0397 0.3722 0.6372

***

7.
# SrHo2IrO8 | the Alexandria database | PBE | relaxed
# ΔE_f (raw): -2095 meV/atom
# Total DFT energy (no corrections): -7.042 eV per atom
data_SrHo2IrO8
_cell_length_a 4.336
_cell_length_b 5.119
_cell_length_c 7.003
_cell_angle_alpha 89.37
_cell_angle_beta 73.77
_cell_angle_gamma 87.96
_space_group_name_H-M_alt 'P -1'
_space_group_IT_number 2
_space_group_name_Hall '-P 1'
loop_
_atom_site_label
_atom_site_type_symbol
_atom_site_fract_x
_atom_site_fract_y
_atom_site_fract_z
Sr1 Sr 0.000 0.000 0.000
Ho1 Ho 0.394 0.518 0.284
Ir1 Ir 0.000 0.000 0.500
O1 O 0.168 0.310 0.594
O2 O 0.223 0.777 0.633
O3 O 0.239 0.497 0.006
O4 O 0.352 0.975 0.251

***

8.
# Ho2TlIrO8 | the Alexandria database | PBE | relaxed
# ΔE_f (raw): -1793 meV/atom
# Total DFT energy (no corrections): -6.797 eV per atom
data_Ho2TlIrO8
_cell_length_a 4.914
_cell_length_b 7.037
_cell_length_c 4.920
_cell_angle_alpha 90.00
_cell_angle_beta 92.55
_cell_angle_gamma 90.00
_space_group_name_H-M_alt 'P 1 2/m 1'
_space_group_IT_number 10
_space_group_name_Hall '-P 2y'
loop_
_atom_site_label
_atom_site_type_symbol
_atom_site_fract_x
_atom_site_fract_y
_atom_site_fract_z
Ho1 Ho 0.000 0.246 0.000
Tl1 Tl 0.500 0.500 0.500
Ir1 Ir 0.500 0.000 0.500
O1 O 0.197 0.500 0.196
O2 O 0.218 0.000 0.217
O3 O 0.314 0.198 0.686